# 1
# InC3Cl

A relaxed structure of InC3Cl (GGA-PBE, Alexandria).

Geometry as POSCAR:
```
InC3Cl
1.0
3.974 0.000 0.000
0.000 3.974 0.000
0.000 0.000 3.974
In C Cl
1 3 1
Direct
0.000 0.000 0.000 In
0.000 0.500 0.500 C
0.500 0.000 0.500 C
0.500 0.500 0.000 C
0.500 0.500 0.500 Cl
```

Summary:
Its uncorrected formation energy is 3.206 eV/atom. Its symmetry is Pm-3m, No. 221. The calculation puts the raw total energy at -3.25 eV/atom.

---

# 2
# Ca2MoAsN

A relaxed structure of Ca2MoAsN (GGA-PBE, Alexandria).

Geometry as POSCAR:
```
Ca2MoAsN
1.0
5.794 0.000 0.000
0.000 5.794 0.000
0.000 0.000 3.843
Ca Mo As N
2 1 1 1
Direct
0.000 0.500 0.000 Ca
0.500 0.000 0.000 Ca
0.000 0.000 0.500 Mo
0.500 0.500 0.000 As
0.500 0.500 0.500 N
```

Summary:
Its uncorrected formation energy is 1.013 eV/atom. Its symmetry is P4/mmm, No. 123. The calculation puts the raw total energy at -4.55 eV/atom.